1.
## HfGeRu (SCAN)

Data for HfGeRu at its PBEsol-relaxed geometry.

Cell: 6.6646 6.6646 3.7118 Å, 90.00 90.00 120.00°
With the nearest neighbours (Å) after each atom.
Positions (direct):
Hf (0.0000, 0.4154, 0.0000)  5 Ge 2.73-2.77, 6 Ru 2.92-3.04
Hf (0.4154, 0.0000, 0.0000)  5 Ge 2.73-2.77, 6 Ru 2.92-3.04
Hf (0.5846, 0.5846, 0.0000)  5 Ge 2.73-2.77, 6 Ru 2.92-3.04
Ge (0.0000, 0.0000, 0.0000)  6 Ru 2.48, 3 Hf 2.77
Ge (0.3333, 0.6667, 0.5000)  3 Ru 2.56, 6 Hf 2.73
Ge (0.6667, 0.3333, 0.5000)  3 Ru 2.56, 6 Hf 2.73
Ru (0.0000, 0.7540, 0.5000)  4 Ge 2.48-2.56
Ru (0.2460, 0.2460, 0.5000)  4 Ge 2.48-2.56
Ru (0.7540, 0.0000, 0.5000)  4 Ge 2.48-2.56

Summary:
total magnetization	0.00	μB per atom
Fermi-level density of states	3.95	states/eV per cell
calculated volume	143	Å³/cell
energy	-357.594	eV/cell
SG	P-62m

2.
## HfGe2Ru (SCAN)

Data for HfGe2Ru at its PBEsol-relaxed geometry.

Cell: 9.1671 10.2978 8.0302 Å, 90.00 90.00 90.00°
With the nearest neighbours (Å) after each atom.
Positions (direct):
Hf (0.1634, 0.1788, 0.0000)  7 Ge 2.79-2.92, 4 Ru 3.08
Hf (0.1752, 0.4498, 0.2396)  7 Ge 2.67-2.95
Hf (0.1752, 0.4498, 0.7604)  7 Ge 2.67-2.95
Hf (0.3248, 0.9498, 0.2396)  7 Ge 2.67-2.95
Hf (0.3248, 0.9498, 0.7604)  7 Ge 2.67-2.95
Hf (0.3366, 0.6788, 0.0000)  7 Ge 2.79-2.92, 4 Ru 3.08
Hf (0.6634, 0.3212, 0.0000)  7 Ge 2.79-2.92, 4 Ru 3.08
Hf (0.6752, 0.0502, 0.2396)  7 Ge 2.67-2.95
Hf (0.6752, 0.0502, 0.7604)  7 Ge 2.67-2.95
Hf (0.8248, 0.5502, 0.2396)  7 Ge 2.67-2.95
Hf (0.8248, 0.5502, 0.7604)  7 Ge 2.67-2.95
Hf (0.8366, 0.8212, 0.0000)  7 Ge 2.79-2.92, 4 Ru 3.08
Ge (0.0347, 0.6156, 0.5000)  2 Ru 2.43, 1 Ge 2.46
Ge (0.0387, 0.6151, 0.0000)  2 Ru 2.44, 1 Ge 2.47
Ge (0.1323, 0.8969, 0.0000)  4 Ru 2.54-2.61, 3 Hf 2.67-2.82
Ge (0.1330, 0.9034, 0.5000)  4 Ru 2.58-2.64, 2 Hf 2.77
Ge (0.1587, 0.1809, 0.3470)  1 Ge 2.46, 3 Ru 2.48-2.56
Ge (0.1587, 0.1809, 0.6530)  1 Ge 2.46, 3 Ru 2.48-2.56
Ge (0.3413, 0.6809, 0.3470)  1 Ge 2.46, 3 Ru 2.48-2.56
Ge (0.3413, 0.6809, 0.6530)  1 Ge 2.46, 3 Ru 2.48-2.56
Ge (0.3670, 0.4034, 0.5000)  4 Ru 2.58-2.64, 2 Hf 2.77
Ge (0.3677, 0.3969, 0.0000)  4 Ru 2.54-2.61, 3 Hf 2.67-2.82
Ge (0.4613, 0.1151, 0.0000)  2 Ru 2.44, 1 Ge 2.47
Ge (0.4653, 0.1156, 0.5000)  2 Ru 2.43, 1 Ge 2.46
Ge (0.5347, 0.8844, 0.5000)  2 Ru 2.43, 1 Ge 2.46
Ge (0.5387, 0.8849, 0.0000)  2 Ru 2.44, 1 Ge 2.47
Ge (0.6323, 0.6031, 0.0000)  4 Ru 2.54-2.61, 3 Hf 2.67-2.82
Ge (0.6330, 0.5966, 0.5000)  4 Ru 2.58-2.64, 2 Hf 2.77
Ge (0.6587, 0.3191, 0.3470)  1 Ge 2.46, 3 Ru 2.48-2.56
Ge (0.6587, 0.3191, 0.6530)  1 Ge 2.46, 3 Ru 2.48-2.56
Ge (0.8413, 0.8191, 0.3470)  1 Ge 2.46, 3 Ru 2.48-2.56
Ge (0.8413, 0.8191, 0.6530)  1 Ge 2.46, 3 Ru 2.48-2.56
Ge (0.8670, 0.0966, 0.5000)  4 Ru 2.58-2.64, 2 Hf 2.77
Ge (0.8677, 0.1031, 0.0000)  4 Ru 2.54-2.61, 3 Hf 2.67-2.82
Ge (0.9613, 0.3849, 0.0000)  2 Ru 2.44, 1 Ge 2.47
Ge (0.9653, 0.3844, 0.5000)  2 Ru 2.43, 1 Ge 2.46
Ru (0.0000, 0.0000, 0.2448)  6 Ge 2.50-2.58
Ru (0.0000, 0.0000, 0.7552)  6 Ge 2.50-2.58
Ru (0.0924, 0.7400, 0.2513)  6 Ge 2.43-2.64
Ru (0.0924, 0.7400, 0.7487)  6 Ge 2.43-2.64
Ru (0.4076, 0.2400, 0.2513)  6 Ge 2.43-2.64
Ru (0.4076, 0.2400, 0.7487)  6 Ge 2.43-2.64
Ru (0.5000, 0.5000, 0.2448)  6 Ge 2.50-2.58
Ru (0.5000, 0.5000, 0.7552)  6 Ge 2.50-2.58
Ru (0.5924, 0.7600, 0.2513)  6 Ge 2.43-2.64
Ru (0.5924, 0.7600, 0.7487)  6 Ge 2.43-2.64
Ru (0.9076, 0.2600, 0.2513)  6 Ge 2.43-2.64
Ru (0.9076, 0.2600, 0.7487)  6 Ge 2.43-2.64

Summary:
total magnetization	0.00	μB per atom
Fermi-level density of states	15.96	states/eV per cell
calculated volume	758	Å³/cell
energy	-1659.470	eV/cell
SG	Pbam

3.
## HfGeS3 (SCAN)

Data for HfGeS3 at its PBEsol-relaxed geometry.

Cell: 4.5440 4.5440 4.5440 Å, 90.00 90.00 90.00°
With the nearest neighbours (Å) after each atom.
Positions (direct):
Hf (0.0000, 0.0000, 0.0000)  12 S 3.21
Ge (0.5000, 0.5000, 0.5000)  6 S 2.27
S (0.0000, 0.5000, 0.5000)  2 Ge 2.27
S (0.5000, 0.0000, 0.5000)  2 Ge 2.27
S (0.5000, 0.5000, 0.0000)  2 Ge 2.27

Summary:
total magnetization	0.00	μB per atom
Fermi-level density of states	2.27	states/eV per cell
calculated volume	94	Å³/cell
energy	-109.970	eV/cell
SG	Pm-3m
energy relative to the elements, uncorrected	0.1351	eV/atom

4.
## HfGeS (SCAN)

Data for HfGeS at its PBEsol-relaxed geometry.

Cell: 3.5826 3.5826 7.8718 Å, 90.00 90.00 90.00°
With the nearest neighbours (Å) after each atom.
Positions (direct):
Hf (0.2500, 0.2500, 0.2243)  5 S 2.67-2.70, 4 Ge 2.81
Hf (0.7500, 0.7500, 0.7757)  5 S 2.67-2.70, 4 Ge 2.81
Ge (0.2500, 0.7500, 0.5000)  4 Ge 2.53, 4 Hf 2.81
Ge (0.7500, 0.2500, 0.5000)  4 Ge 2.53, 4 Hf 2.81
S (0.2500, 0.2500, 0.8810)  5 Hf 2.67-2.70
S (0.7500, 0.7500, 0.1190)  5 Hf 2.67-2.70

Summary:
total magnetization	0.00	μB per atom
Fermi-level density of states	0.91	states/eV per cell
calculated volume	101	Å³/cell
energy	-189.827	eV/cell
SG	P4/nmm
energy relative to the elements, uncorrected	-1.1749	eV/atom

5.
## HfGeS2 (SCAN)

Data for HfGeS2 at its PBEsol-relaxed geometry.

Cell: 6.7021 6.7021 6.7021 Å, 125.29 125.29 81.05°
With the nearest neighbours (Å) after each atom.
Positions (direct):
Hf (0.0000, 0.0000, 0.0000)  4 S 2.41
Hf (0.7500, 0.2500, 0.5000)  4 S 2.41
Ge (0.2500, 0.7500, 0.5000)  4 S 2.64
Ge (0.5000, 0.5000, 0.0000)  4 S 2.64
S (0.0950, 0.1250, 0.4700)  2 Hf 2.41, 2 Ge 2.64
S (0.3750, 0.9050, 0.0300)  2 Hf 2.41, 2 Ge 2.64
S (0.6550, 0.6250, 0.5300)  2 Hf 2.41, 2 Ge 2.64
S (0.8750, 0.3450, 0.9700)  2 Hf 2.41, 2 Ge 2.64

Summary:
total magnetization	0.00	μB per atom
Fermi-level density of states	6.58	states/eV per cell
calculated volume	193	Å³/cell
energy	-205.298	eV/cell
SG	I-42d
energy relative to the elements, uncorrected	-0.4081	eV/atom

6.
## Hf4GeSb7 (SCAN)

Data for Hf4GeSb7 at its PBEsol-relaxed geometry.

Cell: 7.2609 3.9192 9.4483 Å, 90.00 90.47 90.00°
With the nearest neighbours (Å) after each atom.
Positions (direct):
Hf (0.0000, 0.0000, 0.0000)  8 Sb 2.89-3.13, 1 Ge 3.04
Hf (0.0131, 0.5000, 0.5055)  9 Sb 2.93-3.26
Hf (0.4934, 0.0000, 0.1718)  1 Ge 2.79, 7 Sb 2.96-3.07
Hf (0.5143, 0.5000, 0.6829)  2 Ge 2.89, 7 Sb 2.91-3.06
Ge (0.3901, 0.0000, 0.8864)  4 Sb 2.78-3.01, 4 Hf 2.79-3.04
Sb (0.1429, 0.5000, 0.8001)  2 Ge 2.78, 4 Hf 2.92-2.93
Sb (0.1898, 0.5000, 0.1894)  5 Hf 2.96-3.26, 2 Sb 3.11
Sb (0.3193, 0.0000, 0.4917)  5 Hf 2.97-3.29, 2 Sb 3.10
Sb (0.6193, 0.5000, 0.3866)  4 Sb 2.90-3.10, 4 Hf 2.91-3.06
Sb (0.6804, 0.5000, 0.9813)  5 Hf 2.99-3.06, 2 Ge 3.01
Sb (0.8245, 0.0000, 0.6967)  5 Hf 2.99-3.13, 2 Sb 3.18
Sb (0.8873, 0.0000, 0.2931)  4 Hf 2.89-3.07, 4 Sb 2.90-3.11

Summary:
total magnetization	0.00	μB per atom
Fermi-level density of states	3.77	states/eV per cell
calculated volume	269	Å³/cell
energy	-536.045	eV/cell
SG	Pm
energy relative to the elements, uncorrected	-0.4533	eV/atom

7.
## HfGeSb2Te (SCAN)

Data for HfGeSb2Te at its PBEsol-relaxed geometry.

Cell: 5.4531 5.4531 5.3612 Å, 90.00 90.00 90.00°
With the nearest neighbours (Å) after each atom.
Positions (direct):
Hf (0.0000, 0.0000, 0.0000)  2 Te 2.68, 4 Sb 2.73
Ge (0.5000, 0.5000, 0.5000)  8 Sb 3.82, 4 Te 3.86
Sb (0.0000, 0.5000, 0.0000)  2 Hf 2.73
Sb (0.5000, 0.0000, 0.0000)  2 Hf 2.73
Te (0.0000, 0.0000, 0.5000)  2 Hf 2.68

Summary:
total magnetization	0.00	μB per atom
Fermi-level density of states	4.42	states/eV per cell
calculated volume	159	Å³/cell
energy	-191.022	eV/cell
SG	P4/mmm
energy relative to the elements, uncorrected	0.5024	eV/atom

8.
## Hf5Sc5Ge6 (SCAN)

Data for Hf5Sc5Ge6 at its PBEsol-relaxed geometry.

Cell: 5.5685 7.8635 7.8635 Å, 119.81 90.00 90.00°
With the nearest neighbours (Å) after each atom.
Positions (direct):
Hf (0.0000, 0.0000, 0.0000)  3 Ge 2.69-2.88
Hf (0.0000, 0.2432, 0.4890)  5 Ge 2.69-3.01
Hf (0.0000, 0.4890, 0.2432)  5 Ge 2.69-3.01
Hf (0.5000, 0.2434, 0.9974)  5 Ge 2.69-3.01
Hf (0.5000, 0.9974, 0.2434)  5 Ge 2.69-3.01
Sc (0.2491, 0.5782, 0.9120)  2 Sc 2.77-2.79, 6 Ge 2.80-2.81
Sc (0.2491, 0.9120, 0.5782)  2 Sc 2.77-2.79, 6 Ge 2.80-2.81
Sc (0.5000, 0.4912, 0.4912)  5 Ge 2.68-3.00
Sc (0.7509, 0.5782, 0.9120)  2 Sc 2.77-2.79, 6 Ge 2.80-2.81
Sc (0.7509, 0.9120, 0.5782)  2 Sc 2.77-2.79, 6 Ge 2.80-2.81
Ge (0.0000, 0.2443, 0.8537)  5 Hf 2.69-3.01, 4 Sc 2.80
Ge (0.0000, 0.6342, 0.6342)  3 Hf 2.70-2.88, 6 Sc 2.80-3.00
Ge (0.0000, 0.8537, 0.2443)  5 Hf 2.69-3.01, 4 Sc 2.80
Ge (0.5000, 0.2452, 0.6350)  5 Sc 2.68-2.81, 2 Hf 2.70-2.86
Ge (0.5000, 0.6350, 0.2452)  5 Sc 2.68-2.81, 2 Hf 2.70-2.86
Ge (0.5000, 0.8540, 0.8540)  2 Hf 2.69, 5 Sc 2.80-2.86

Summary:
total magnetization	0.00	μB per atom
Fermi-level density of states	6.35	states/eV per cell
calculated volume	299	Å³/cell
energy	-511.809	eV/cell
SG	Amm2

9.
## HfSc3Ge (SCAN)

Data for HfSc3Ge at its PBEsol-relaxed geometry.

Cell: 5.0465 5.0465 5.0465 Å, 90.00 90.00 90.00°
With the nearest neighbours (Å) after each atom.
Positions (direct):
Hf (0.0000, 0.0000, 0.0000)  6 Sc 2.52
Sc (0.0000, 0.0000, 0.5000)  2 Hf 2.52
Sc (0.0000, 0.5000, 0.0000)  2 Hf 2.52
Sc (0.5000, 0.0000, 0.0000)  2 Hf 2.52
Ge (0.5000, 0.5000, 0.5000)  12 Sc 3.57

Summary:
total magnetization	0.00	μB per atom
Fermi-level density of states	3.89	states/eV per cell
calculated volume	129	Å³/cell
energy	-120.268	eV/cell
SG	Pm-3m

10.
## Hf2ScTaGe (SCAN)

Data for Hf2ScTaGe at its PBEsol-relaxed geometry.

Cell: 4.9278 4.9278 4.7799 Å, 90.00 90.00 90.00°
With the nearest neighbours (Å) after each atom.
Positions (direct):
Hf (0.0000, 0.5000, 0.0000)  2 Ge 2.46
Hf (0.5000, 0.0000, 0.0000)  2 Ge 2.46
Sc (0.0000, 0.0000, 0.5000)  8 Hf 3.43, 4 Ta 3.48
Ta (0.5000, 0.5000, 0.5000)  2 Ge 2.39
Ge (0.5000, 0.5000, 0.0000)  2 Ta 2.39, 4 Hf 2.46

Summary:
total magnetization	0.00	μB per atom
Fermi-level density of states	5.15	states/eV per cell
calculated volume	116	Å³/cell
energy	-223.005	eV/cell
SG	P4/mmm

11.
## SrHfSi2Ge (SCAN)

Data for SrHfSi2Ge at its PBEsol-relaxed geometry.

Cell: 4.9364 4.9364 5.0024 Å, 90.00 90.00 90.00°
With the nearest neighbours (Å) after each atom.
Positions (direct):
Sr (0.0000, 0.0000, 0.0000)  4 Hf 3.49, 8 Si 3.51
Hf (0.5000, 0.5000, 0.0000)  2 Ge 2.50
Si (0.0000, 0.5000, 0.5000)  2 Ge 2.47
Si (0.5000, 0.0000, 0.5000)  2 Ge 2.47
Ge (0.5000, 0.5000, 0.5000)  4 Si 2.47, 2 Hf 2.50

Summary:
total magnetization	0.00	μB per atom
Fermi-level density of states	3.00	states/eV per cell
calculated volume	122	Å³/cell
energy	-120.984	eV/cell
SG	P4/mmm
energy relative to the elements, uncorrected	0.6167	eV/atom

12.
## HfSn3Ge (SCAN)

Data for HfSn3Ge at its PBEsol-relaxed geometry.

Cell: 5.1517 5.1517 5.1517 Å, 90.00 90.00 90.00°
With the nearest neighbours (Å) after each atom.
Positions (direct):
Hf (0.0000, 0.0000, 0.0000)  12 Sn 3.64
Sn (0.0000, 0.5000, 0.5000)  2 Ge 2.58
Sn (0.5000, 0.0000, 0.5000)  2 Ge 2.58
Sn (0.5000, 0.5000, 0.0000)  2 Ge 2.58
Ge (0.5000, 0.5000, 0.5000)  6 Sn 2.58

Summary:
total magnetization	0.00	μB per atom
Fermi-level density of states	5.20	states/eV per cell
calculated volume	137	Å³/cell
energy	-184.831	eV/cell
SG	Pm-3m